Y4AlTl2Hg | GGA-PBE | optimized geometry

Structure (POSCAR):
```
Y4AlTl2Hg
1.0
2.647 1.528 8.621
-2.647 1.528 8.621
0.000 -3.056 8.621
Y Al Tl Hg
4 1 2 1
Direct
0.123 0.123 0.123
0.374 0.374 0.374
0.626 0.626 0.626
0.877 0.877 0.877
0.000 0.000 0.000
0.248 0.248 0.248
0.752 0.752 0.752
0.500 0.500 0.500
```

Computed properties:
As for the volume: 209 Å³ per cell. The theoretical density comes out at 7.874 g/cm3. The calculation puts the energy relative to the elements at -9.28 kcal/mol of atoms. Its space group is R-3m (166). As for the spin magnetization: 0.0 μB/cell.